The following is a DFT calculation (GGA-PBEsol) of crystalline ZrAlAs2Se at its relaxed geometry.

POSCAR file:
```
ZrAlAs2Se
1.0
4.6833 0.0000 0.0000
0.0000 4.6833 0.0000
0.0000 0.0000 4.8666
Zr Al As Se
1 1 2 1
direct
0.0000 0.0000 0.0000 Zr
0.5000 0.5000 0.5000 Al
0.0000 0.5000 0.5000 As
0.5000 0.0000 0.5000 As
0.5000 0.5000 0.0000 Se
```

E_form (uncorrected) = 0.216 eV per atom
calculated total energy = -26.163 eV per cell
space group = P4/mmm, No. 123
size of the total moment = 0.0002 μB per atom
calculated volume = 21.35 Å³ per atom